NiRhO4 | PBE with a Hubbard U | relaxed

Structure (POSCAR):
```
NiRhO4
1.0
5.189 0.118 -1.688
-2.706 4.429 -1.688
-0.064 -0.118 5.456
Rh Ni O
2 2 8
Cartesian
0.607 1.112 -0.826
3.790 2.249 0.214
1.877 3.439 -2.553
2.578 0.029 1.863
4.124 0.018 3.012
2.646 2.004 1.769
-0.234 2.428 0.318
-1.318 4.115 1.792
3.739 0.305 0.284
1.020 0.018 0.729
0.163 2.135 3.046
2.233 2.253 -0.936
```

Summary:
SG: No. 109
electronic total energy: -67.0 eV per cell
size of the total moment: 0.179 μB/atom